[1]
! ZrTe2Mo (PBEsol, optimized geometry); values from VASP
&SYSTEM
  ibrav = 0, nat = 4, ntyp = 3
/
ATOMIC_SPECIES
Te 127.60 Te.upf
Mo 95.94 Mo.upf
Zr 91.22 Zr.upf
ATOMIC_POSITIONS crystal
Te 0.257 0.257 0.229
Te 0.743 0.743 0.771
Mo 0.000 0.000 0.000
Zr 0.500 0.500 0.500
CELL_PARAMETERS angstrom
-1.575 -1.659 2.423
1.750 -1.758 2.225
0.569 5.805 6.635
! Space-group type: R-3m (166)
! Relative energy among the computed polymorphs (meV/atom): 225
! Formation energy (no corrections) (eV per atom): -0.05

=====

[2]
! NaMgTlPd2 (PBEsol, optimized geometry); values from VASP
&SYSTEM
  ibrav = 0, nat = 5, ntyp = 4
/
ATOMIC_SPECIES
Pd 106.42 Pd.upf
Mg 24.30 Mg.upf
Tl 204.38 Tl.upf
Na 22.99 Na.upf
ATOMIC_POSITIONS crystal
Pd 0.500 0.000 0.000
Mg 0.500 0.500 0.500
Pd 0.000 0.500 0.000
Tl 0.000 0.000 0.500
Na 0.000 0.000 0.000
CELL_PARAMETERS angstrom
-0.123 -3.735 2.879
0.654 -2.866 -3.690
4.961 0.322 0.630
! Space-group type: P4/mmm (123)
! Formation energy from the elements (eV/atom): 0.692

=====

[3]
! Bi2Te4Pb (PBEsol, optimized geometry); values from VASP
&SYSTEM
  ibrav = 0, nat = 7, ntyp = 3
/
ATOMIC_SPECIES
Te 127.60 Te.upf
Pb 207.20 Pb.upf
Bi 208.98 Bi.upf
ATOMIC_POSITIONS crystal
Te 0.713 0.713 0.862
Te 0.292 0.292 0.125
Pb 0.568 0.568 0.295
Te 0.136 0.136 0.591
Te 0.862 0.862 0.414
Bi 0.429 0.429 0.712
Bi 0.000 0.000 0.999
CELL_PARAMETERS angstrom
4.421 0.000 0.000
2.210 3.828 0.000
2.210 1.276 13.890
! Space-group type: R3m (160)
! Relative energy among the computed polymorphs (meV/atom): 27
! Formation energy (no corrections) (eV per atom): -0.24

=====

[4]
! BaCa2Br (PBEsol, optimized geometry); values from VASP
&SYSTEM
  ibrav = 0, nat = 4, ntyp = 3
/
ATOMIC_SPECIES
Br 79.90 Br.upf
Ca 40.08 Ca.upf
Ba 137.33 Ba.upf
ATOMIC_POSITIONS crystal
Br 0.000 0.000 0.000
Ca 0.250 0.750 0.500
Ca 0.750 0.250 0.500
Ba 0.500 0.500 0.000
CELL_PARAMETERS angstrom
-2.589 -2.353 -3.351
3.985 -2.356 -1.425
-2.050 -2.716 6.992
! Space-group type: I4/mmm (139)
! Formation energy (no corrections) (eV per atom): -0.47

=====

[5]
! TaAl7 (PBEsol, optimized geometry); values from VASP
&SYSTEM
  ibrav = 0, nat = 8, ntyp = 2
/
ATOMIC_SPECIES
Al 26.98 Al.upf
Ta 180.95 Ta.upf
ATOMIC_POSITIONS crystal
Al 0.000 0.000 0.500
Ta 0.000 0.000 0.000
Al 0.500 0.500 0.000
Al 0.500 0.000 0.000
Al 0.000 0.500 0.500
Al 0.500 0.000 0.500
Al 0.500 0.500 0.500
Al 0.000 0.500 0.000
CELL_PARAMETERS angstrom
-1.386 -4.750 -2.755
-2.777 -4.131 2.700
-5.417 -1.064 -1.261
! Space-group type: Fm-3m (225)
! Formation energy from the elements (eV/atom): -0.053

=====

[6]
! Li2PHO (PBEsol, optimized geometry); values from VASP
&SYSTEM
  ibrav = 0, nat = 5, ntyp = 4
/
ATOMIC_SPECIES
O 16.00 O.upf
Li 6.94 Li.upf
P 30.97 P.upf
H 1.01 H.upf
ATOMIC_POSITIONS crystal
O 0.500 0.000 0.000
Li 0.000 0.500 0.000
P 0.500 0.500 0.500
H 0.000 0.000 0.000
Li 0.000 0.000 0.500
CELL_PARAMETERS angstrom
-1.913 -1.395 -0.122
0.418 -0.962 4.443
-2.664 3.563 1.022
! Space-group type: P4/mmm (123)

=====

[7]
! Sb2MoBr (PBEsol, optimized geometry); values from VASP
&SYSTEM
  ibrav = 0, nat = 4, ntyp = 3
/
ATOMIC_SPECIES
Br 79.90 Br.upf
Sb 121.76 Sb.upf
Mo 95.94 Mo.upf
ATOMIC_POSITIONS crystal
Br 0.500 0.000 0.000
Sb 0.313 0.313 0.627
Mo 0.000 0.500 0.000
Sb 0.687 0.687 0.373
CELL_PARAMETERS angstrom
-2.144 -1.886 1.378
2.544 -3.870 -1.340
2.914 3.129 5.170
! Space-group type: Immm (71)
! Relative energy among the computed polymorphs (meV/atom): 344
! Formation energy (no corrections) (eV per atom): 0.39

=====

[8]
! BaSi2Mo (PBEsol, optimized geometry); values from VASP
&SYSTEM
  ibrav = 0, nat = 4, ntyp = 3
/
ATOMIC_SPECIES
Ba 137.33 Ba.upf
Si 28.09 Si.upf
Mo 95.94 Mo.upf
ATOMIC_POSITIONS crystal
Ba 0.544 0.544 0.089
Si 0.904 0.904 0.807
Si 0.783 0.283 0.566
Mo 0.269 0.769 0.538
CELL_PARAMETERS angstrom
3.540 0.000 0.000
0.000 3.608 0.000
-1.770 -1.804 6.821
! Space-group type: Imm2 (44)
! Relative energy among the computed polymorphs (meV/atom): 0
! Formation energy (no corrections) (eV per atom): -0.01

=====

no.,total DFT energy (no corrections) (eV per atom)
1,-7.0228
2,-2.8406
3,-4.0475
4,-2.5398
5,-5.2019
6,-4.3778
7,-5.2985
8,-6.3624